Compound: SmBiPb
Source: Alexandria
Functional: PBE
Structure: optimized geometry

abc: 3.410 5.612 5.612
angles: 120.00 90.00 90.00
Positions (direct):
Bi 0.835 0.000 0.000
Pb 0.831 0.667 0.333
Sm 0.334 0.333 0.667

Summary:
ΔE_f: -0.287 eV/atom
ΔE to the lowest computed polymorph: 218.2 meV/atom
Volume: 93 Å³/cell
M_tot: 0.06 μB per cell
Crystal system: trigonal